(1)
VASP calculation (PBE-GGA) on a relaxed In2WAu crystal.

Cell: 5.382 5.382 5.382 Å, 134.73 134.73 65.96°
Positions (direct):
Au1 0.750 0.250 0.500
In1 0.500 0.500 0.000
In2 0.000 0.000 0.000
W1 0.250 0.750 0.500

## Properties
Relative energy among the computed polymorphs, meV/atom: 198
ΔE_f, meV per atom: 540
Space-group type: I4/mmm



(2)
VASP calculation (PBE-GGA) on a relaxed InW2Au crystal.

Cell: 9.990 9.990 9.990 Å, 16.65 16.65 16.65°
Positions (direct):
W1 0.998 0.998 0.998
W2 0.251 0.251 0.251
Au1 0.503 0.503 0.503
In1 0.749 0.749 0.749

## Properties
ΔE_f, meV per atom: 453
Space-group type: R3m



(3)
VASP calculation (PBE-GGA) on a relaxed In2WAu crystal.

Cell: 6.494 6.494 6.494 Å, 153.65 136.13 51.90°
Each line ends with the local moment (μB).
Positions (direct):
In1 0.001 0.001 0.000  -0.01
In2 0.711 0.211 0.500  0.01
W1 0.496 0.496 0.000  0.38
Au1 0.292 0.792 0.500  0.02

## Properties
Relative energy among the computed polymorphs, meV/atom: 67
ΔE_f, meV per atom: 409
Space-group type: Imm2



(4)
VASP calculation (PBE-GGA) on a relaxed InW2Au crystal.

Cell: 9.723 9.723 9.723 Å, 17.26 17.26 17.26°
Positions (direct):
In1 0.750 0.750 0.750
Au1 0.250 0.250 0.250
W1 0.502 0.502 0.502
W2 0.998 0.998 0.998

## Properties
ΔE_f, meV per atom: 601
Space-group type: R-3m



(5)
VASP calculation (PBE-GGA) on a relaxed In2WAu crystal.

Cell: 3.043 3.971 6.380 Å, 90.00 90.00 90.00°
Positions (direct):
Au1 0.500 0.500 0.750
W1 0.500 0.500 0.250
In1 0.000 0.000 0.493
In2 0.000 0.000 0.007

## Properties
Relative energy among the computed polymorphs, meV/atom: 108
ΔE_f, meV per atom: 450
Space-group type: Pmmm



(6)
VASP calculation (PBE-GGA) on a relaxed InW2Au crystal.

Cell: 4.651 2.810 5.645 Å, 72.55 90.00 90.00°
Positions (direct):
W1 0.000 0.015 0.995
W2 0.000 0.485 0.505
In1 0.500 0.750 0.750
Au1 0.500 0.250 0.250

## Properties
ΔE_f, meV per atom: 545
Space-group type: P2/m



(7)
VASP calculation (PBE-GGA) on a relaxed InW2Au crystal.

Cell: 4.648 4.648 4.648 Å, 60.00 60.00 60.00°
Positions (direct):
W1 0.250 0.250 0.250
W2 0.000 0.000 0.000
Au1 0.500 0.500 0.500
In1 0.750 0.750 0.750

## Properties
ΔE_f, meV per atom: 654
Space-group type: F-43m



(8)
VASP calculation (PBE-GGA) on a relaxed InW2Au crystal.

Cell: 5.029 5.029 5.238 Å, 84.06 84.06 32.41°
Positions (direct):
W1 0.001 0.001 0.974
W2 0.753 0.753 0.772
In1 0.249 0.249 0.265
Au1 0.497 0.497 0.489

## Properties
ΔE_f, meV per atom: 489
Space-group type: Cm